No. 1
Material: Sm4Ge3S12
Method: DFT, meta-GGA SCAN
State: PBEsol geometry

Lattice parameters (Å, degrees): 7.7766 11.2905 11.2905 114.89 103.27 103.27
Last column: nearest neighbours and their distance in Å.
Fractional coordinates of all 38 atoms:
Sm 0.5015 0.0000 0.0000  6 S 2.81-2.82
Sm 0.0015 0.0000 0.0000  6 S 2.81-2.82
Sm 0.0596 0.7774 0.5365  7 S 2.79-2.97
Sm 0.2821 0.7590 0.2226  7 S 2.79-2.97
Sm 0.5231 0.4635 0.2410  7 S 2.79-2.97
Sm 0.5596 0.5365 0.7774  7 S 2.79-2.97
Sm 0.0231 0.2410 0.4635  7 S 2.79-2.97
Sm 0.7821 0.2226 0.7590  7 S 2.79-2.97
Ge 0.3562 0.2112 0.8256  4 S 2.21-2.24
Ge 0.1450 0.6144 0.7888  4 S 2.21-2.24
Ge 0.5306 0.1744 0.3856  4 S 2.21-2.24
Ge 0.8562 0.8256 0.2112  4 S 2.21-2.24
Ge 0.0306 0.3856 0.1744  4 S 2.21-2.24
Ge 0.6450 0.7888 0.6144  4 S 2.21-2.24
S 0.1202 0.9301 0.3984  1 Ge 2.21
S 0.1901 0.4683 0.0699  1 Ge 2.21
S 0.7217 0.6016 0.5317  1 Ge 2.21
S 0.6202 0.3984 0.9301  1 Ge 2.21
S 0.2217 0.5317 0.6016  1 Ge 2.21
S 0.6901 0.0699 0.4683  1 Ge 2.21
S 0.3153 0.1878 0.0061  1 Ge 2.24
S 0.1275 0.8184 0.8122  1 Ge 2.24
S 0.3091 0.9939 0.1816  1 Ge 2.24
S 0.8153 0.0061 0.1878  1 Ge 2.24
S 0.8091 0.1816 0.9939  1 Ge 2.24
S 0.6275 0.8122 0.8184  1 Ge 2.24
S 0.4147 0.0214 0.7088  1 Ge 2.21
S 0.3933 0.6874 0.9786  1 Ge 2.21
S 0.7059 0.2912 0.3126  1 Ge 2.21
S 0.9147 0.7088 0.0214  1 Ge 2.21
S 0.2059 0.3126 0.2912  1 Ge 2.21
S 0.8933 0.9786 0.6874  1 Ge 2.21
S 0.6475 0.7361 0.2853  1 Ge 2.22
S 0.9114 0.5491 0.2639  1 Ge 2.22
S 0.3623 0.7147 0.4509  1 Ge 2.22
S 0.1475 0.2853 0.7361  1 Ge 2.22
S 0.8623 0.4509 0.7147  1 Ge 2.22
S 0.4114 0.2639 0.5491  1 Ge 2.22

Properties
* E_tot: -755.58 eV per cell
* DOS at the Fermi energy: 0.00 states/eV/f.u.

No. 2
Material: CuSiAg3
Method: DFT, meta-GGA SCAN
State: PBEsol geometry

Lattice parameters (Å, degrees): 4.6419 4.6419 4.6419 90.00 90.00 90.00
Last column: nearest neighbours and their distance in Å.
Fractional coordinates of all 5 atoms:
Si 0.5000 0.5000 0.5000  12 Ag 3.28
Cu 0.0000 0.0000 0.0000  6 Ag 2.32
Ag 0.0000 0.5000 0.0000  2 Cu 2.32
Ag 0.0000 0.0000 0.5000  2 Cu 2.32
Ag 0.5000 0.0000 0.0000  2 Cu 2.32

Properties
* E_tot: -114.68 eV per cell
* DOS at the Fermi energy: 1.39 states/eV/f.u.

No. 3
Material: MnBeSe2
Method: DFT, meta-GGA SCAN
State: PBEsol geometry

Lattice parameters (Å, degrees): 5.5403 5.5403 6.5800 114.90 114.90 90.00
Last column: nearest neighbours and their distance in Å.
Fractional coordinates of all 8 atoms:
Be 0.7500 0.2500 0.5000  4 Se 2.24
Be 0.5000 0.5000 0.0000  4 Se 2.24
Mn 0.2500 0.7500 0.5000  4 Se 2.50
Mn 0.0000 0.0000 0.0000  4 Se 2.50
Se 0.4165 0.8750 0.2500  2 Be 2.24
Se 0.8335 0.3750 0.2500  2 Be 2.24
Se 0.1250 0.1665 0.7500  2 Be 2.24
Se 0.6250 0.5835 0.7500  2 Be 2.24

Properties
* E_tot: -132.78 eV per cell

No. 4
Material: LiTl
Method: DFT, meta-GGA SCAN
State: PBEsol geometry

Lattice parameters (Å, degrees): 5.4898 5.4898 5.4898 90.00 90.00 90.00
Last column: nearest neighbours and their distance in Å.
Fractional coordinates of all 8 atoms:
Tl 0.4040 0.9040 0.5960  7 Li 2.89-2.97
Tl 0.0960 0.0960 0.0960  7 Li 2.89-2.97
Tl 0.5960 0.4040 0.9040  7 Li 2.89-2.97
Tl 0.9040 0.5960 0.4040  7 Li 2.89-2.97
Li 0.1002 0.6002 0.8998  7 Tl 2.89-2.97
Li 0.3998 0.3998 0.3998  7 Tl 2.89-2.97
Li 0.8998 0.1002 0.6002  7 Tl 2.89-2.97
Li 0.6002 0.8998 0.1002  7 Tl 2.89-2.97

Properties
* formation enthalpy at 0 K: -28.7 kJ per mole of atoms
* DOS at the Fermi energy: 0.53 states/eV/f.u.

No. 5
Material: MnNi2Br
Method: DFT, meta-GGA SCAN
State: PBEsol geometry

Lattice parameters (Å, degrees): 3.6431 3.6431 4.7739 112.43 112.43 90.00
Last column: nearest neighbours and their distance in Å.
Fractional coordinates of all 4 atoms:
Br 0.5000 0.5000 0.0000  8 Ni 2.58-2.71, 4 Mn 2.71
Mn 0.2500 0.7500 0.5000  8 Ni 2.58-2.71, 4 Br 2.71
Ni 0.0000 0.0000 0.0000  4 Br 2.58, 4 Mn 2.71, 4 Ni 2.71
Ni 0.7500 0.2500 0.5000  4 Mn 2.58, 4 Br 2.71, 4 Ni 2.71

Properties
* E_tot: -68.21 eV per cell
* DOS at the Fermi energy: 2.43 states/eV/f.u.

No. 6
Material: K3ZrSb
Method: DFT, meta-GGA SCAN
State: PBEsol geometry

Lattice parameters (Å, degrees): 6.1281 6.1281 6.1281 90.00 90.00 90.00
Last column: nearest neighbours and their distance in Å.
Fractional coordinates of all 5 atoms:
Sb 0.5000 0.5000 0.5000  12 K 4.33
K 0.0000 0.5000 0.0000  2 Zr 3.06
K 0.0000 0.0000 0.5000  2 Zr 3.06
K 0.5000 0.0000 0.0000  2 Zr 3.06
Zr 0.0000 0.0000 0.0000  6 K 3.06

Properties
* E_tot: -87.48 eV per cell
* DOS at the Fermi energy: 4.63 states/eV/f.u.

No. 7
Material: ErOs2
Method: DFT, meta-GGA SCAN
State: PBEsol geometry

Lattice parameters (Å, degrees): 5.2303 5.2303 8.7441 90.00 90.00 120.00
Last column: nearest neighbours and their distance in Å.
Fractional coordinates of all 12 atoms:
Os 0.1715 0.3429 0.7500  6 Os 2.54-2.69
Os 0.1715 0.8285 0.7500  6 Os 2.54-2.69
Os 0.3429 0.1715 0.2500  6 Os 2.54-2.69
Os 0.8285 0.6571 0.2500  6 Os 2.54-2.69
Os 0.6571 0.8285 0.7500  6 Os 2.54-2.69
Os 0.0000 0.0000 0.0000  6 Os 2.68
Os 0.8285 0.1715 0.2500  6 Os 2.54-2.69
Os 0.0000 0.0000 0.5000  6 Os 2.68
Er 0.3333 0.6667 0.4346  12 Os 3.07-3.12, 4 Er 3.23
Er 0.6667 0.3333 0.5654  12 Os 3.07-3.12, 4 Er 3.23
Er 0.6667 0.3333 0.9346  12 Os 3.07-3.12, 4 Er 3.23
Er 0.3333 0.6667 0.0654  12 Os 3.07-3.12, 4 Er 3.23

Properties
* formation enthalpy at 0 K: -48.4 kJ per mole of atoms
* DOS at the Fermi energy: 3.00 states/eV/f.u.

No. 8
Material: BaMoIr
Method: DFT, meta-GGA SCAN
State: PBEsol geometry

Lattice parameters (Å, degrees): 4.5629 4.5629 4.5629 60.00 60.00 60.00
Last column: nearest neighbours and their distance in Å.
Fractional coordinates of all 3 atoms:
Ba 0.0000 0.0000 0.0000  4 Mo 2.79
Ir 0.5000 0.5000 0.5000  4 Mo 2.79
Mo 0.2500 0.2500 0.2500  4 Ir 2.79, 4 Ba 2.79

Properties
* formation enthalpy at 0 K: 109.3 kJ per mole of atoms
* DOS at the Fermi energy: 2.36 states/eV/f.u.